Model one:
## BaCoCu2 (meta-GGA SCAN)

Data for a crystal of BaCoCu2 relaxed with PBEsol.

V   84.7 Å³/cell
Size of the total moment   1.79 μB per formula unit

abc: 4.0601 5.0729 5.0729
angles: 67.68 66.41 66.41
Closest atoms and distances in Å follow each position.
Fractional positions:
Ba 0.5000 0.0000 0.0000  8 Cu 3.08-3.20
Co 0.0000 0.5000 0.5000  4 Cu 2.37
Cu 0.3343 0.6657 0.6657  2 Co 2.37, 1 Cu 2.45
Cu 0.6657 0.3343 0.3343  2 Co 2.37, 1 Cu 2.45

Model two:
## BaCoCu2 (meta-GGA SCAN)

Data for a crystal of BaCoCu2 relaxed with PBEsol.

V   69.1 Å³/cell
Size of the total moment   1.19 μB per formula unit

abc: 3.9459 3.9459 5.2421
angles: 112.11 112.11 90.00
Closest atoms and distances in Å follow each position.
Fractional positions:
Ba 0.5000 0.5000 0.0000  4 Co 2.79, 8 Cu 2.97
Co 0.0000 0.0000 0.0000  4 Ba 2.79, 8 Cu 2.97
Cu 0.7500 0.2500 0.5000  4 Cu 2.79, 4 Ba 2.97, 4 Co 2.97
Cu 0.2500 0.7500 0.5000  4 Cu 2.79, 4 Ba 2.97, 4 Co 2.97

Energies relative to the minimum, meV/atom: model one 0; model two 392